Record 1
# ScHg3, PBEsol geometry, DFT SCAN
# E (eV per atom): -55.00
# D(E_F) (states/eV/cell): 4.6
# Formation energy (meV/atom): -317.5
# Crystal system: tetragonal
data_ScHg3
_symmetry_space_group_name_H-M 'P 1'
_symmetry_Int_Tables_number 1
_symmetry_space_group_name_Hall 'P 1'
_cell_length_a 4.4034
_cell_length_b 4.4034
_cell_length_c 9.1549
_cell_angle_alpha 103.92
_cell_angle_beta 103.92
_cell_angle_gamma 90.00
loop_
_atom_site_label
_atom_site_type_symbol
_atom_site_fract_x
_atom_site_fract_y
_atom_site_fract_z
_atom_site_occupancy
Sc1 Sc 0.3746 0.3746 0.7492 1
Sc2 Sc 0.6254 0.6254 0.2508 1
Hg1 Hg 0.7500 0.2500 0.5000 1
Hg2 Hg 0.2500 0.7500 0.5000 1
Hg3 Hg 0.8704 0.8704 0.7407 1
Hg4 Hg 0.5000 0.0000 0.0000 1
Hg5 Hg 0.1296 0.1296 0.2593 1
Hg6 Hg 0.0000 0.5000 0.0000 1

Record 2
# Sc5Hg4, PBEsol geometry, DFT SCAN
# E (eV per atom): -38.80
# D(E_F) (states/eV/cell): 16.7
# Formation energy (meV/atom): -597.1
# Crystal system: hexagonal
data_Sc5Hg4
_symmetry_space_group_name_H-M 'P 1'
_symmetry_Int_Tables_number 1
_symmetry_space_group_name_Hall 'P 1'
_cell_length_a 6.0993
_cell_length_b 8.5239
_cell_length_c 8.5239
_cell_angle_alpha 120.00
_cell_angle_beta 90.00
_cell_angle_gamma 90.00
loop_
_atom_site_label
_atom_site_type_symbol
_atom_site_fract_x
_atom_site_fract_y
_atom_site_fract_z
_atom_site_occupancy
Hg1 Hg 0.7500 0.3761 0.0000 1
Hg2 Hg 0.2500 0.3761 0.3761 1
Hg3 Hg 0.7500 0.6239 0.6239 1
Hg4 Hg 0.2500 0.0000 0.6239 1
Hg5 Hg 0.5000 0.0000 0.0000 1
Hg6 Hg 0.0000 0.0000 0.0000 1
Hg7 Hg 0.2500 0.6239 0.0000 1
Hg8 Hg 0.7500 0.0000 0.3761 1
Sc1 Sc 0.5000 0.3333 0.6667 1
Sc2 Sc 0.2500 0.7044 0.7044 1
Sc3 Sc 0.0000 0.3333 0.6667 1
Sc4 Sc 0.5000 0.6667 0.3333 1
Sc5 Sc 0.7500 0.7044 0.0000 1
Sc6 Sc 0.2500 0.2956 0.0000 1
Sc7 Sc 0.7500 0.0000 0.7044 1
Sc8 Sc 0.0000 0.6667 0.3333 1
Sc9 Sc 0.7500 0.2956 0.2956 1
Sc10 Sc 0.2500 0.0000 0.2956 1